Material: Ac2Cu3Pd4
Method: DFT, PBE
State: relaxed

abc: 8.2970 8.2970 7.8795
angles: 90.00 90.00 140.09
Closest atoms and distances in Å follow each position.
Element x y z (fractional)
Ac  0.1143  0.8857  0.9190  8 Pd 3.03-3.37, 2 Cu 3.10
Ac  0.3857  0.6143  0.4190  8 Pd 3.03-3.37, 2 Cu 3.10
Ac  0.6143  0.3857  0.5810  8 Pd 3.03-3.37, 2 Cu 3.10
Ac  0.8857  0.1143  0.0810  8 Pd 3.03-3.37, 2 Cu 3.10
Cu  0.0000  0.0000  0.5000  6 Pd 2.61-2.73
Cu  0.0191  0.4809  0.7500  5 Pd 2.63-2.76, 2 Cu 2.83
Cu  0.4809  0.0191  0.2500  5 Pd 2.63-2.76, 2 Cu 2.83
Cu  0.5000  0.5000  0.0000  6 Pd 2.61-2.73
Cu  0.5191  0.9809  0.7500  5 Pd 2.63-2.76, 2 Cu 2.83
Cu  0.9809  0.5191  0.2500  5 Pd 2.63-2.76, 2 Cu 2.83
Pd  0.1749  0.8251  0.5145  5 Cu 2.67-2.76
Pd  0.1880  0.3120  0.7500  3 Cu 2.61-2.63, 2 Pd 2.83
Pd  0.3120  0.1880  0.2500  3 Cu 2.61-2.63, 2 Pd 2.83
Pd  0.3251  0.6749  0.0145  5 Cu 2.67-2.76
Pd  0.6749  0.3251  0.9855  5 Cu 2.67-2.76
Pd  0.6880  0.8120  0.7500  3 Cu 2.61-2.63, 2 Pd 2.83
Pd  0.8120  0.6880  0.2500  3 Cu 2.61-2.63, 2 Pd 2.83
Pd  0.8251  0.1749  0.4855  5 Cu 2.67-2.76

Properties
magnetization	0.0	μB/f.u.
energy of formation	-505	meV per atom
symmetry	Cmce, No. 64

=====

Material: CrBr2Cl
Method: DFT, PBE
State: relaxed

abc: 4.9986 4.9986 3.6737
angles: 90.00 90.00 90.00
Closest atoms and distances in Å follow each position.
Element x y z (fractional)
Cr  0.0000  0.0000  0.0000  8 Br 3.10
Br  0.0000  0.5000  0.5000  4 Cr 3.10, 4 Cl 3.10
Br  0.5000  0.0000  0.5000  4 Cr 3.10, 4 Cl 3.10
Cl  0.5000  0.5000  0.0000  8 Br 3.10

Properties
magnetization	3.3	μB/f.u.
uncorrected formation energy	0.33	eV per atom
symmetry	P4/mmm, No. 123
distance to the lowest polymorph of the same formula	1103.5	meV per atom

=====

Material: La2PrTm5
Method: DFT, PBE
State: relaxed

abc: 6.3038 6.3038 16.7404
angles: 90.00 90.00 126.65
Closest atoms and distances in Å follow each position.
Element x y z (fractional)
La  0.2225  0.7775  0.6342  8 Tm 3.36-3.76, 2 Pr 3.55
La  0.2225  0.7775  0.8658  8 Tm 3.36-3.76, 2 Pr 3.55
La  0.7775  0.2225  0.1342  8 Tm 3.36-3.76, 2 Pr 3.55
La  0.7775  0.2225  0.3658  8 Tm 3.36-3.76, 2 Pr 3.55
Pr  0.1974  0.8026  0.2500  5 Tm 3.24-3.55, 4 La 3.55
Pr  0.8026  0.1974  0.7500  5 Tm 3.24-3.55, 4 La 3.55
Tm  0.0911  0.9089  0.0700  2 Tm 3.11-3.41, 1 Pr 3.24
Tm  0.0911  0.9089  0.4300  2 Tm 3.11-3.41, 1 Pr 3.24
Tm  0.3932  0.6068  0.0590  3 Tm 3.11-3.44, 2 La 3.36
Tm  0.3932  0.6068  0.4410  3 Tm 3.11-3.44, 2 La 3.36
Tm  0.4935  0.5065  0.7500  2 Tm 3.44, 3 Pr 3.48-3.55, 2 La 3.62
Tm  0.5065  0.4935  0.2500  2 Tm 3.44, 3 Pr 3.48-3.55, 2 La 3.62
Tm  0.6068  0.3932  0.5590  3 Tm 3.11-3.44, 2 La 3.36
Tm  0.6068  0.3932  0.9410  3 Tm 3.11-3.44, 2 La 3.36
Tm  0.9089  0.0911  0.5700  2 Tm 3.11-3.41, 1 Pr 3.24
Tm  0.9089  0.0911  0.9300  2 Tm 3.11-3.41, 1 Pr 3.24

Properties
magnetization	0.0	μB/f.u.
energy of formation	140	meV per atom
symmetry	Cmcm, No. 63
distance to the lowest polymorph of the same formula	111.3	meV per atom

=====

Material: Pm6Ru2NCl3
Method: DFT, PBE
State: relaxed

abc: 6.8325 6.8325 7.7439
angles: 98.33 98.33 120.03
Closest atoms and distances in Å follow each position.
Element x y z (fractional)
Pm  0.0619  0.3706  0.1950  1 N 2.55, 2 Ru 2.74-2.79
Pm  0.2540  0.2540  0.8055  1 N 2.61, 2 Ru 2.76
Pm  0.3706  0.0619  0.1950  1 N 2.55, 2 Ru 2.74-2.79
Pm  0.6294  0.9381  0.8050  1 N 2.55, 2 Ru 2.74-2.79
Pm  0.7460  0.7460  0.1945  1 N 2.61, 2 Ru 2.76
Pm  0.9381  0.6294  0.8050  1 N 2.55, 2 Ru 2.74-2.79
Ru  0.3308  0.6692  0.0000  6 Pm 2.74-2.79
Ru  0.6692  0.3308  0.0000  6 Pm 2.74-2.79
N  0.0000  0.0000  0.0000  6 Pm 2.55-2.61
Cl  0.1605  0.8395  0.5000  6 Pm 3.13-3.39
Cl  0.5000  0.5000  0.5000  6 Pm 3.17-3.28
Cl  0.8395  0.1605  0.5000  6 Pm 3.13-3.39

Properties
magnetization	0.0	μB/f.u.
uncorrected formation energy	-1.07	eV per atom
symmetry	C2/m, No. 12

=====

Material: LaNiP2Rh
Method: DFT, PBE
State: relaxed

abc: 4.0780 4.0780 9.8333
angles: 90.00 90.00 90.00
Closest atoms and distances in Å follow each position.
Element x y z (fractional)
La  0.0000  0.0000  0.0000  8 P 3.13, 4 Ni 3.19, 4 Rh 3.19
La  0.5000  0.5000  0.5000  8 P 3.13, 4 Ni 3.19, 4 Rh 3.19
Ni  0.0000  0.5000  0.7500  4 P 2.39
Ni  0.5000  0.0000  0.2500  4 P 2.39
P  0.0000  0.0000  0.3759  2 Ni 2.39, 2 Rh 2.39, 1 P 2.44
P  0.0000  0.0000  0.6241  2 Ni 2.39, 2 Rh 2.39, 1 P 2.44
P  0.5000  0.5000  0.1241  2 Ni 2.39, 2 Rh 2.39, 1 P 2.44
P  0.5000  0.5000  0.8759  2 Ni 2.39, 2 Rh 2.39, 1 P 2.44
Rh  0.0000  0.5000  0.2500  4 P 2.39
Rh  0.5000  0.0000  0.7500  4 P 2.39

Properties
magnetization	0.0	μB/f.u.
energy of formation	-999	meV per atom
symmetry	I-4m2, No. 119

=====

Material: Tl3Ag3GeO8
Method: DFT, PBE
State: relaxed

abc: 6.6871 6.6871 8.3336
angles: 124.52 124.52 59.91
Closest atoms and distances in Å follow each position.
Element x y z (fractional)
Tl  0.0000  0.0000  0.0000  6 O 2.28-2.32
Tl  0.0000  0.5000  0.0000  6 O 2.25-2.40
Tl  0.5000  0.0000  0.0000  6 O 2.25-2.40
Ag  0.0000  0.0000  0.5000  2 O 2.13
Ag  0.0000  0.5000  0.5000  2 O 2.13
Ag  0.5000  0.0000  0.5000  2 O 2.13
Ge  0.5000  0.5000  0.0000  6 O 1.93-2.00
O  0.0814  0.0814  0.8147  1 Ag 2.13, 3 Tl 2.25-2.28
O  0.1303  0.5674  0.8220  1 Ge 2.00, 1 Ag 2.13
O  0.4310  0.4310  0.1567  1 Ge 1.93
O  0.4326  0.8697  0.1780  1 Ge 2.00, 1 Ag 2.13
O  0.5674  0.1303  0.8220  1 Ge 2.00, 1 Ag 2.13
O  0.5690  0.5690  0.8433  1 Ge 1.93
O  0.8697  0.4326  0.1780  1 Ge 2.00, 1 Ag 2.13
O  0.9186  0.9186  0.1853  1 Ag 2.13, 3 Tl 2.25-2.28

Properties
magnetization	0.0	μB/f.u.
uncorrected formation energy	-0.64	eV per atom
symmetry	C2/m, No. 12

=====

Material: Ba2TbH12Pd3
Method: DFT, PBE
State: relaxed

abc: 6.4130 6.4130 6.4130
angles: 65.51 65.51 65.51
Closest atoms and distances in Å follow each position.
Element x y z (fractional)
Ba  0.1136  0.1136  0.1136  3 H 2.50
Ba  0.8864  0.8864  0.8864  3 H 2.50
Tb  0.5000  0.5000  0.5000  6 H 2.21
H  0.1040  0.6205  0.6205  1 Pd 1.73
H  0.2218  0.2218  0.5959  2 Pd 1.82
H  0.2218  0.5959  0.2218  2 Pd 1.82
H  0.3795  0.3795  0.8960  1 Pd 1.73
H  0.3795  0.8960  0.3795  1 Pd 1.73
H  0.4041  0.7782  0.7782  2 Pd 1.82
H  0.5959  0.2218  0.2218  2 Pd 1.82
H  0.6205  0.1040  0.6205  1 Pd 1.73
H  0.6205  0.6205  0.1040  1 Pd 1.73
H  0.7782  0.4041  0.7782  2 Pd 1.82
H  0.7782  0.7782  0.4041  2 Pd 1.82
H  0.8960  0.3795  0.3795  1 Pd 1.73
Pd  0.0000  0.5000  0.5000  6 H 1.73-1.82
Pd  0.5000  0.0000  0.5000  6 H 1.73-1.82
Pd  0.5000  0.5000  0.0000  6 H 1.73-1.82

Properties
magnetization	0.0	μB/f.u.
E	-3.932	eV/atom
symmetry	R-3m, No. 166

=====

Material: Be2Cu2N
Method: DFT, PBE
State: relaxed

abc: 3.0806 3.0806 11.4520
angles: 90.00 90.00 90.00
Closest atoms and distances in Å follow each position.
Element x y z (fractional)
Be  0.0000  0.0000  0.0898  1 Be 2.06
Be  0.0000  0.0000  0.9102  1 Be 2.06
Be  0.5000  0.5000  0.4102  1 Be 2.06
Be  0.5000  0.5000  0.5898  1 Be 2.06
Cu  0.0000  0.5000  0.2500  4 Cu 2.18, 4 Be 2.40
Cu  0.0000  0.5000  0.7500  4 Cu 2.18, 4 Be 2.40
Cu  0.5000  0.0000  0.2500  4 Cu 2.18, 4 Be 2.40
Cu  0.5000  0.0000  0.7500  4 Cu 2.18, 4 Be 2.40
N  0.0000  0.0000  0.5000  8 Be 2.41
N  0.5000  0.5000  0.0000  8 Be 2.41

Properties
magnetization	0.0	μB/f.u.
uncorrected formation energy	0.95	eV per atom
symmetry	I4/mmm, No. 139
distance to the lowest polymorph of the same formula	848.5	meV per atom

=====

Material: TbSm3S4
Method: DFT, PBE
State: relaxed

abc: 6.9379 7.9150 6.9277
angles: 90.00 109.39 90.00
Closest atoms and distances in Å follow each position.
Element x y z (fractional)
Tb  0.0000  0.1257  0.2500  6 S 2.78-2.80
Tb  0.0000  0.8743  0.7500  6 S 2.78-2.80
Sm  0.0000  0.3756  0.7500  6 S 2.81-2.83
Sm  0.0000  0.6244  0.2500  6 S 2.81-2.83
Sm  0.5000  0.1258  0.7500  6 S 2.81-2.86
Sm  0.5000  0.3760  0.2500  6 S 2.83-2.85
Sm  0.5000  0.6240  0.7500  6 S 2.83-2.85
Sm  0.5000  0.8742  0.2500  6 S 2.81-2.86
S  0.2447  0.1223  0.0002  2 Tb 2.79-2.80, 4 Sm 2.82-2.86
S  0.2447  0.8777  0.5002  2 Tb 2.79-2.80, 4 Sm 2.82-2.86
S  0.2472  0.3720  0.4972  1 Tb 2.78, 5 Sm 2.81-2.84
S  0.2472  0.6280  0.9972  1 Tb 2.78, 5 Sm 2.81-2.84
S  0.7528  0.3720  0.0028  1 Tb 2.78, 5 Sm 2.81-2.84
S  0.7528  0.6280  0.5028  1 Tb 2.78, 5 Sm 2.81-2.84
S  0.7553  0.1223  0.4998  2 Tb 2.79-2.80, 4 Sm 2.82-2.86
S  0.7553  0.8777  0.9998  2 Tb 2.79-2.80, 4 Sm 2.82-2.86

Properties
magnetization	0.0	μB/f.u.
uncorrected formation energy	-2.02	eV per atom
symmetry	P2/c, No. 13
distance to the lowest polymorph of the same formula	0.0	meV per atom

=====

Material: ScCuTeI2
Method: DFT, PBE
State: relaxed

abc: 5.6294 5.6294 5.7697
angles: 90.00 90.00 90.00
Closest atoms and distances in Å follow each position.
Element x y z (fractional)
Sc  0.0000  0.0000  0.0000  4 I 2.81, 2 Te 2.88
Cu  0.5000  0.5000  0.5000  4 Te 3.98, 8 I 4.03
Te  0.0000  0.0000  0.5000  2 Sc 2.88
I  0.0000  0.5000  0.0000  2 Sc 2.81
I  0.5000  0.0000  0.0000  2 Sc 2.81

Properties
magnetization	0.0	μB/f.u.
uncorrected formation energy	-0.10	eV per atom
symmetry	P4/mmm, No. 123
distance to the lowest polymorph of the same formula	0.0	meV per atom

=====

Material: InNi6Sn
Method: DFT, PBE
State: relaxed

abc: 5.3307 5.3307 4.2344
angles: 90.00 90.00 120.00
Closest atoms and distances in Å follow each position.
Element x y z (fractional)
In  0.0000  0.0000  0.0000  12 Ni 2.67
Ni  0.0171  0.5086  0.0000  8 Ni 2.53-2.80, 2 Sn 2.66, 2 In 2.67
Ni  0.1755  0.3510  0.5000  8 Ni 2.52-2.81, 2 In 2.67, 2 Sn 2.67
Ni  0.1755  0.8245  0.5000  8 Ni 2.52-2.81, 2 In 2.67, 2 Sn 2.67
Ni  0.4914  0.5086  0.0000  8 Ni 2.53-2.80, 2 Sn 2.66, 2 In 2.67
Ni  0.4914  0.9829  0.0000  8 Ni 2.53-2.80, 2 Sn 2.66, 2 In 2.67
Ni  0.6490  0.8245  0.5000  8 Ni 2.52-2.81, 2 In 2.67, 2 Sn 2.67
Sn  0.6667  0.3333  0.5000  12 Ni 2.66-2.67

Properties
magnetization	0.0	μB/f.u.
energy of formation	-131	meV per atom
symmetry	P-6m2, No. 187
distance to the lowest polymorph of the same formula	0.0	meV per atom

=====

Material: LiTlCo2Br8
Method: DFT, PBE
State: relaxed

abc: 10.3320 10.3320 10.3320
angles: 37.84 37.84 37.84
Closest atoms and distances in Å follow each position.
Element x y z (fractional)
Li  0.0000  0.0000  0.0000  6 Br 2.79
Tl  0.5000  0.5000  0.5000  12 Br 3.85-3.87
Co  0.2513  0.2513  0.2513  4 Br 2.32-2.33
Co  0.7487  0.7487  0.7487  4 Br 2.32-2.33
Br  0.0572  0.3938  0.7217  1 Co 2.33
Br  0.1705  0.1705  0.1705  1 Co 2.32
Br  0.2783  0.9428  0.6062  1 Co 2.33
Br  0.3938  0.7217  0.0572  1 Co 2.33
Br  0.6062  0.2783  0.9428  1 Co 2.33
Br  0.7217  0.0572  0.3938  1 Co 2.33
Br  0.8295  0.8295  0.8295  1 Co 2.32
Br  0.9428  0.6062  0.2783  1 Co 2.33

Properties
magnetization	8.0	μB/f.u.
uncorrected formation energy	-0.54	eV per atom
symmetry	R-3, No. 148